Compound: ZnGeSb2Te
Source: Alexandria
Functional: PBE
Structure: relaxed

Summary:
Distance to the lowest polymorph of the same formula ... 0 meV/atom
Energy relative to the elements, uncorrected ... 0.6096 eV/atom

```
data_ZnGeSb2Te
_chemical_formula_sum 'Zn1 Ge1 Sb2 Te1'
_cell_length_a 5.1429
_cell_length_b 5.1429
_cell_length_c 5.4383
_cell_angle_alpha 90.00
_cell_angle_beta 90.00
_cell_angle_gamma 90.00
_symmetry_space_group_name_H-M 'P 4/m m m'
_symmetry_Int_Tables_number 123
_symmetry_space_group_name_Hall '-P 4 2'
loop_
_atom_site_label
_atom_site_type_symbol
_atom_site_fract_x
_atom_site_fract_y
_atom_site_fract_z
Zn1 Zn 0.0000 0.0000 0.0000
Ge1 Ge 0.5000 0.5000 0.5000
Sb1 Sb 0.0000 0.5000 0.0000
Te1 Te 0.0000 0.0000 0.5000
```

=====

Compound: CoWBr
Source: Alexandria
Functional: PBE
Structure: relaxed

Summary:
Distance to the lowest polymorph of the same formula ... 54 meV/atom
Energy relative to the elements, uncorrected ... 0.7165 eV/atom

```
data_CoWBr
_chemical_formula_sum 'Co2 W2 Br2'
_cell_length_a 2.9493
_cell_length_b 2.9493
_cell_length_c 11.7401
_cell_angle_alpha 90.00
_cell_angle_beta 90.00
_cell_angle_gamma 90.00
_symmetry_space_group_name_H-M 'I 4 m m'
_symmetry_Int_Tables_number 107
_symmetry_space_group_name_Hall 'I 4 -2'
loop_
_atom_site_label
_atom_site_type_symbol
_atom_site_fract_x
_atom_site_fract_y
_atom_site_fract_z
Co1 Co 0.0000 0.0000 0.0000
W1 W 0.0000 0.0000 0.3753
Br1 Br 0.0000 0.0000 0.7174
```

=====

Compound: Dy3RhN
Source: Alexandria
Functional: PBE
Structure: relaxed

Summary:
Energy relative to the elements, uncorrected ... -0.8479 eV/atom

```
data_Dy3RhN
_chemical_formula_sum 'Dy3 Rh1 N1'
_cell_length_a 4.7081
_cell_length_b 4.7081
_cell_length_c 4.7081
_cell_angle_alpha 90.00
_cell_angle_beta 90.00
_cell_angle_gamma 90.00
_symmetry_space_group_name_H-M 'P m -3 m'
_symmetry_Int_Tables_number 221
_symmetry_space_group_name_Hall '-P 4 2 3'
loop_
_atom_site_label
_atom_site_type_symbol
_atom_site_fract_x
_atom_site_fract_y
_atom_site_fract_z
Dy1 Dy 0.0000 0.0000 0.5000
Rh1 Rh 0.5000 0.5000 0.5000
N1 N 0.0000 0.0000 0.0000
```

=====

> Which value of energy relative to the elements, uncorrected does entry 2 give?

0.7165 eV/atom